a) Entry from the Alexandria database: a geometry-optimized MoP2AuO structure (PBE with a Hubbard U).

a b c (Å): 4.8649 4.8649 3.7658
angles (deg): 90.00 90.00 90.00
Fractional coordinates of all 5 atoms:
Au 0.5000 0.5000 0.5000
P 0.0000 0.5000 0.0000
Mo 0.0000 0.0000 0.0000
P 0.5000 0.0000 0.0000
O 0.0000 0.0000 0.5000

Calculated values
Total moment in Bohr magnetons per cell: 0.59
DOS(E_F) in states/eV/atom: 0.40

b) Entry from the Alexandria database: a geometry-optimized MoP2AuO structure (PBE with a Hubbard U).

a b c (Å): 4.8736 4.8736 3.9535
angles (deg): 90.00 90.00 90.00
Fractional coordinates of all 5 atoms:
Au 0.0000 0.0000 0.0000
P 0.5000 0.0000 0.0000
O 0.0000 0.0000 0.5000
P 0.0000 0.5000 0.0000
Mo 0.5000 0.5000 0.5000

Calculated values
Total moment in Bohr magnetons per cell: 2.80
DOS(E_F) in states/eV/atom: 0.71

Quick ranking, most stable first: a), b).